# 1
The following is a PBE calculation of a relaxed TbSm7Er2 crystal, from Alexandria.

The structure in POSCAR format:
```
TbSm7Er2
1.0
-4.2320 -3.5192 -1.0263
6.0582 -6.3891 -3.0732
-2.7336 0.6951 8.8888
Sm Er Tb
7 2 1
Cartesian
-0.5287 -3.5760 -0.8302
-0.3788 -5.6372 5.6195
-0.8450 -0.8268 6.3191
1.6109 -7.2404 2.9124
4.1695 -4.8672 -0.5035
-2.5183 -1.9728 1.8769
-0.4537 -4.6066 2.3947
1.3456 -6.0564 -0.0535
-2.2530 -3.1568 4.8428
0.0000 0.0000 0.0000
```

Output
Total magnetization: 0.000 μB per cell
ΔH_f (0 K): 0.663 eV per atom
Energy above the most stable polymorph in this dataset: 0.613 eV/atom

***

# 2
The following is a PBE calculation of a relaxed Nb12CuSn3 crystal, from Alexandria.

The structure in POSCAR format:
```
Nb12CuSn3
1.0
5.2962 0.0000 0.0000
0.0000 5.2942 0.0000
0.0000 0.0000 10.5592
Nb Sn Cu
12 3 1
Cartesian
1.2781 2.6471 5.2796
0.0000 1.3199 2.7231
2.6481 0.0000 4.0207
2.6481 0.0000 6.5384
0.0000 1.3199 7.8361
0.0000 3.9743 2.7231
2.6481 0.0000 1.3610
2.6481 0.0000 9.1982
1.3388 2.6471 0.0000
4.0181 2.6471 5.2796
3.9574 2.6471 0.0000
0.0000 3.9743 7.8361
2.6481 2.6471 2.6326
0.0000 0.0000 0.0000
2.6481 2.6471 7.9265
0.0000 0.0000 5.2796
```

Output
Total magnetization: 0.000 μB per cell
ΔH_f (0 K): -0.101 eV per atom

***

# 3
The following is a PBE calculation of a relaxed Si2PBr crystal, from Alexandria.

The structure in POSCAR format:
```
Si2PBr
1.0
3.4584 -0.0332 0.0000
-1.6621 3.0330 0.0000
0.0000 0.0000 7.7581
Si P Br
2 1 1
Cartesian
0.0000 0.0000 7.4388
0.0000 0.0000 4.1983
0.8982 1.4999 5.8186
0.8982 1.4999 1.9395
```

Output
Total magnetization: 0.000 μB per cell
Energy above the most stable polymorph in this dataset: 0.400 eV/atom
Formation energy without anion corrections: 0.468 eV per atom

***

no.,density of states at the Fermi level (states/eV per atom)
1,1.477
2,1.414
3,0.338